Compound: Cr4MoW2
Source: the Alexandria database
Functional: PBE-GGA
Structure: relaxed

It has space group I4/mmm (No. 139), with a = 4.433 Å, b = 4.433 Å, c = 12.541 Å, α = 90.00°, β = 90.00° and γ = 90.00°. The distinct sites, in fractional coordinates, are Cr at (0.000, 0.000, 0.196), Cr at (0.000, 0.500, 0.000), Mo at (0.000, 0.000, 0.000) and W at (0.000, 0.000, 0.388).

The electronic total energy is -9.216 eV/atom. The value obtained for the formation energy is 1531 meV/atom. For the volume, the calculation gives 246.4 Å³ per cell.